w | # Nb3FeHg PBE relaxed
data_Nb3FeHg
_space_group_name_H-M_alt 'P 1'
_space_group_IT_number 1
_cell_length_a 5.015
_cell_length_b 5.015
_cell_length_c 5.015
_cell_angle_alpha 90.00
_cell_angle_beta 90.00
_cell_angle_gamma 90.00
loop_
_space_group_symop_operation_xyz
'x,y,z'
loop_
_atom_site_label
_atom_site_fract_x
_atom_site_fract_y
_atom_site_fract_z
Nb1 0.000 0.500 0.000
Nb2 0.000 0.000 0.500
Nb3 0.500 0.000 0.000
Hg1 0.000 0.000 0.000
Fe1 0.500 0.500 0.500
# symmetry: Pm-3m, No. 221
# ρ: 7.0 g/cm³

x | # Nb3FeHg PBE relaxed
data_Nb3FeHg
_space_group_name_H-M_alt 'P 1'
_space_group_IT_number 1
_cell_length_a 4.617
_cell_length_b 4.617
_cell_length_c 4.617
_cell_angle_alpha 90.00
_cell_angle_beta 90.00
_cell_angle_gamma 90.00
loop_
_space_group_symop_operation_xyz
'x,y,z'
loop_
_atom_site_label
_atom_site_fract_x
_atom_site_fract_y
_atom_site_fract_z
Nb1 0.000 0.500 0.000
Nb2 0.000 0.000 0.500
Nb3 0.500 0.000 0.000
Hg1 0.500 0.500 0.500
Fe1 0.000 0.000 0.000
# symmetry: Pm-3m, No. 221
# ρ: 9.0 g/cm³

It is w that is the least stable of them.

w | # NbFeHg2 PBE relaxed
data_NbFeHg2
_space_group_name_H-M_alt 'P 1'
_space_group_IT_number 1
_cell_length_a 7.551
_cell_length_b 7.551
_cell_length_c 5.979
_cell_angle_alpha 50.84
_cell_angle_beta 50.84
_cell_angle_gamma 90.00
loop_
_space_group_symop_operation_xyz
'x,y,z'
loop_
_atom_site_label
_atom_site_fract_x
_atom_site_fract_y
_atom_site_fract_z
Nb1 0.000 0.000 0.000
Nb2 0.750 0.250 0.500
Hg1 0.592 0.125 0.250
Hg2 0.158 0.625 0.250
Hg3 0.375 0.408 0.750
Hg4 0.875 0.842 0.750
Fe1 0.500 0.500 0.000
Fe2 0.250 0.750 0.500
# symmetry: I-42d, No. 122
# ρ: 11.9 g/cm³

x | # NbFeHg2 PBE relaxed
data_NbFeHg2
_space_group_name_H-M_alt 'P 1'
_space_group_IT_number 1
_cell_length_a 4.622
_cell_length_b 4.622
_cell_length_c 4.622
_cell_angle_alpha 60.00
_cell_angle_beta 60.00
_cell_angle_gamma 60.00
loop_
_space_group_symop_operation_xyz
'x,y,z'
loop_
_atom_site_label
_atom_site_fract_x
_atom_site_fract_y
_atom_site_fract_z
Nb1 0.500 0.500 0.500
Hg1 0.250 0.250 0.250
Hg2 0.750 0.750 0.750
Fe1 0.000 0.000 0.000
# symmetry: Fm-3m, No. 225
# ρ: 13.1 g/cm³

It is w that is the least stable of them.

w | # NbFeTcHg PBE relaxed
data_NbFeTcHg
_space_group_name_H-M_alt 'P 1'
_space_group_IT_number 1
_cell_length_a 3.281
_cell_length_b 3.281
_cell_length_c 6.116
_cell_angle_alpha 90.00
_cell_angle_beta 90.00
_cell_angle_gamma 90.00
loop_
_space_group_symop_operation_xyz
'x,y,z'
loop_
_atom_site_label
_atom_site_fract_x
_atom_site_fract_y
_atom_site_fract_z
Fe1 0.500 0.500 0.026
Nb1 0.000 0.000 0.251
Hg1 0.000 0.000 0.765
Tc1 0.500 0.500 0.472
# symmetry: P4mm, No. 99
# ρ: 11.3 g/cm³

x | # NbFeTcHg PBE relaxed
data_NbFeTcHg
_space_group_name_H-M_alt 'P 1'
_space_group_IT_number 1
_cell_length_a 3.655
_cell_length_b 4.297
_cell_length_c 4.071
_cell_angle_alpha 90.00
_cell_angle_beta 90.00
_cell_angle_gamma 90.00
loop_
_space_group_symop_operation_xyz
'x,y,z'
loop_
_atom_site_label
_atom_site_fract_x
_atom_site_fract_y
_atom_site_fract_z
Fe1 0.500 0.000 0.000
Nb1 0.000 0.500 0.000
Hg1 0.000 0.000 0.500
Tc1 0.500 0.500 0.500
# symmetry: Pmmm, No. 47
# ρ: 11.6 g/cm³

y | # NbFeTcHg PBE relaxed
data_NbFeTcHg
_space_group_name_H-M_alt 'P 1'
_space_group_IT_number 1
_cell_length_a 5.003
_cell_length_b 4.227
_cell_length_c 7.317
_cell_angle_alpha 90.00
_cell_angle_beta 119.18
_cell_angle_gamma 90.00
loop_
_space_group_symop_operation_xyz
'x,y,z'
loop_
_atom_site_label
_atom_site_fract_x
_atom_site_fract_y
_atom_site_fract_z
Fe1 0.545 0.000 0.207
Fe2 0.545 0.500 0.707
Nb1 0.885 0.000 0.987
Nb2 0.885 0.500 0.487
Hg1 0.231 0.000 0.769
Hg2 0.231 0.500 0.269
Tc1 0.583 0.000 0.553
Tc2 0.583 0.500 0.053
# symmetry: R3m, No. 160
# ρ: 11.0 g/cm³

z | # NbFeTcHg PBE relaxed
data_NbFeTcHg
_space_group_name_H-M_alt 'P 1'
_space_group_IT_number 1
_cell_length_a 2.781
_cell_length_b 3.571
_cell_length_c 6.589
_cell_angle_alpha 90.00
_cell_angle_beta 90.13
_cell_angle_gamma 90.00
loop_
_space_group_symop_operation_xyz
'x,y,z'
loop_
_atom_site_label
_atom_site_fract_x
_atom_site_fract_y
_atom_site_fract_z
Fe1 0.812 0.000 0.653
Nb1 0.308 0.500 0.890
Hg1 0.810 0.000 0.203
Tc1 0.311 0.500 0.497
# symmetry: Pm, No. 6
# ρ: 11.4 g/cm³

It is y that is the least stable of them.